The following is a PBE calculation of crystalline PuNi4Pd at its relaxed geometry, from the Alexandria database.

```
PuNi4Pd
1.0
-1.057 3.127 -3.630
2.035 -0.599 -4.424
-2.750 -1.476 -3.786
Ni Pu Pd
4 1 1
Direct
0.625 0.625 0.625
0.625 0.124 0.625
0.625 0.625 0.124
0.124 0.625 0.625
0.250 0.250 0.250
0.000 0.000 0.000
```

Values from the calculation:
* ρ: 11.63 g/cm3
* spin magnetization: 2.6 Bohr magnetons per cell
* symmetry: F-43m, No. 216
* E_tot: -7.33 eV/atom
* N(E_F): 16.29 states/eV per cell